Entry from Alexandria via LeMat-Bulk: a geometry-optimized Ca2AsAu structure (PBEsol).

a b c (Å): 3.6198 5.0082 5.0082
angles (deg): 90.00 90.00 90.00
With the nearest neighbours (Å) after each atom.
Element x y z (fractional)
1 As 0.5000 0.5000 0.5000  8 Ca 3.09
2 Au 0.5000 0.0000 0.0000  8 Ca 3.09
3 Ca 0.0000 0.0000 0.5000  4 As 3.09, 4 Au 3.09
4 Ca 0.0000 0.5000 0.0000  4 As 3.09, 4 Au 3.09

Properties
Symmetry ... No. 123
ΔE_f ... -0.9106 eV/atom

---

Entry from Alexandria via LeMat-Bulk: a geometry-optimized TlCd3Co structure (PBEsol).

a b c (Å): 4.9170 4.9170 4.9170
angles (deg): 90.00 90.00 90.00
With the nearest neighbours (Å) after each atom.
Element x y z (fractional)
1 Tl 0.5000 0.5000 0.5000  12 Cd 3.48
2 Co 0.0000 0.0000 0.0000  6 Cd 2.46
3 Cd 0.0000 0.5000 0.0000  2 Co 2.46
4 Cd 0.0000 0.0000 0.5000  2 Co 2.46
5 Cd 0.5000 0.0000 0.0000  2 Co 2.46

Properties
Symmetry ... No. 221
ΔE_f ... 0.3745 eV/atom

---

Entry from Alexandria via LeMat-Bulk: a geometry-optimized Co7Pt structure (PBEsol).

a b c (Å): 5.0042 5.0042 5.0042
angles (deg): 60.00 60.00 60.00
With the nearest neighbours (Å) after each atom.
Element x y z (fractional)
1 Co 0.5000 0.0000 0.0000  10 Co 2.50, 2 Pt 2.50
2 Co 0.5000 0.5000 0.0000  10 Co 2.50, 2 Pt 2.50
3 Co 0.0000 0.5000 0.0000  10 Co 2.50, 2 Pt 2.50
4 Co 0.5000 0.0000 0.5000  10 Co 2.50, 2 Pt 2.50
5 Co 0.0000 0.0000 0.5000  10 Co 2.50, 2 Pt 2.50
6 Co 0.0000 0.5000 0.5000  2 Pt 2.50, 10 Co 2.50
7 Co 0.5000 0.5000 0.5000  12 Co 2.50
8 Pt 0.0000 0.0000 0.0000  12 Co 2.50

Properties
Symmetry ... No. 225
ΔE_f ... 0.0090 eV/atom

---

Entry from Alexandria via LeMat-Bulk: a geometry-optimized Ba4TlCl structure (PBEsol).

a b c (Å): 7.1337 7.1337 7.1337
angles (deg): 60.00 60.00 60.00
With the nearest neighbours (Å) after each atom.
Element x y z (fractional)
1 Ba 0.3749 0.3749 0.3749  6 Ba 3.57
2 Ba 0.3749 0.3749 0.8752  6 Ba 3.57
3 Ba 0.8752 0.3749 0.3749  6 Ba 3.57
4 Ba 0.3749 0.8752 0.3749  6 Ba 3.57
5 Cl 0.7500 0.7500 0.7500  12 Ba 4.18, 4 Tl 4.37
6 Tl 0.0000 0.0000 0.0000  12 Ba 4.18, 4 Cl 4.37

Properties
Symmetry ... No. 216
Uncorrected energy ... -13.102 eV per formula unit

---

Entry from Alexandria via LeMat-Bulk: a geometry-optimized Li2FeW2O8 structure (PBEsol).

a b c (Å): 4.9144 5.6158 5.8404
angles (deg): 70.26 88.60 63.59
With the nearest neighbours (Å) after each atom.
Element x y z (fractional)
1 Li 0.4635 0.0737 0.7547  4 O 1.98-2.13
2 Li 0.5365 0.9263 0.2453  4 O 1.98-2.13
3 Fe 0.0000 0.0000 0.5000  6 O 2.00-2.15
4 W 0.2295 0.5288 0.1646  4 O 1.79-2.01
5 W 0.7705 0.4712 0.8354  4 O 1.79-2.01
6 O 0.8132 0.7243 0.0411  1 W 1.86, 1 Li 2.01
7 O 0.1868 0.2757 0.9589  1 W 1.86, 1 Li 2.01
8 O 0.7763 0.7652 0.5767  1 W 1.83, 1 Li 1.98, 1 Fe 2.00
9 O 0.2237 0.2348 0.4233  1 W 1.83, 1 Li 1.98, 1 Fe 2.00
10 O 0.6749 0.2759 0.1684  2 W 2.01-2.04, 1 Fe 2.15
11 O 0.3251 0.7241 0.8316  2 W 2.01-2.04, 1 Fe 2.15
12 O 0.2533 0.7531 0.3120  1 W 1.79, 1 Li 1.99
13 O 0.7467 0.2469 0.6880  1 W 1.79, 1 Li 1.99

Properties
Symmetry ... No. 2
Uncorrected energy ... -108.684 eV per formula unit

---

Entry from Alexandria via LeMat-Bulk: a geometry-optimized Fe2TeO2 structure (PBEsol).

a b c (Å): 3.4841 3.4841 5.8732
angles (deg): 107.25 107.25 90.00
With the nearest neighbours (Å) after each atom.
Element x y z (fractional)
1 Te 0.0000 0.0000 0.0000  8 Fe 3.02, 8 O 3.18
2 Fe 0.3369 0.3369 0.6738  4 O 1.97
3 Fe 0.6631 0.6631 0.3262  4 O 1.97
4 O 0.2500 0.7500 0.5000  4 Fe 1.97
5 O 0.7500 0.2500 0.5000  4 Fe 1.97

Properties
Symmetry ... No. 139
Uncorrected energy ... -34.165 eV per formula unit

---

Entry from Alexandria via LeMat-Bulk: a geometry-optimized LiMnAl2Cu structure (PBEsol).

a b c (Å): 4.3309 4.4659 4.4659
angles (deg): 90.00 90.00 90.00
With the nearest neighbours (Å) after each atom.
Element x y z (fractional)
1 Mn 0.5000 0.5000 0.5000  8 Al 3.11, 4 Li 3.16
2 Al 0.0000 0.0000 0.5000  2 Cu 2.23
3 Al 0.0000 0.5000 0.0000  2 Cu 2.23
4 Cu 0.0000 0.0000 0.0000  2 Li 2.17, 4 Al 2.23
5 Li 0.5000 0.0000 0.0000  2 Cu 2.17

Properties
Symmetry ... No. 123
ΔE_f ... 0.4551 eV/atom

---

Entry from Alexandria via LeMat-Bulk: a geometry-optimized Li2ZnSi structure (PBEsol).

a b c (Å): 3.1139 3.1139 5.9380
angles (deg): 90.00 90.00 90.00
With the nearest neighbours (Å) after each atom.
Element x y z (fractional)
1 Zn 0.5000 0.5000 0.7511  5 Li 2.62-2.92, 4 Si 2.66
2 Si 0.0000 0.0000 0.5009  5 Li 2.63-2.90, 4 Zn 2.66
3 Li 0.0000 0.0000 0.9887  4 Zn 2.62, 4 Li 2.73, 1 Si 2.90
4 Li 0.5000 0.5000 0.2593  4 Si 2.63, 4 Li 2.73, 1 Zn 2.92

Properties
Symmetry ... No. 99
Uncorrected energy ... -11.558 eV per formula unit

---

Entry from Alexandria via LeMat-Bulk: a geometry-optimized YCBr3 structure (PBEsol).

a b c (Å): 4.6570 4.6570 4.6570
angles (deg): 90.00 90.00 90.00
With the nearest neighbours (Å) after each atom.
Element x y z (fractional)
1 Y 0.5000 0.5000 0.5000  12 Br 3.29
2 C 0.0000 0.0000 0.0000  6 Br 2.33
3 Br 0.0000 0.5000 0.0000  2 C 2.33
4 Br 0.0000 0.0000 0.5000  2 C 2.33
5 Br 0.5000 0.0000 0.0000  2 C 2.33

Properties
Symmetry ... No. 221
Uncorrected energy ... -20.246 eV per formula unit

---

Entry from Alexandria via LeMat-Bulk: a geometry-optimized Y2BeCrOs structure (PBEsol).

a b c (Å): 3.9713 4.9574 4.9574
angles (deg): 90.00 90.00 90.00
With the nearest neighbours (Å) after each atom.
Element x y z (fractional)
1 Y 0.0000 0.0000 0.5000  2 Be 2.48
2 Y 0.0000 0.5000 0.0000  2 Be 2.48
3 Cr 0.5000 0.0000 0.0000  2 Be 1.99
4 Os 0.5000 0.5000 0.5000  8 Y 3.18, 4 Cr 3.51
5 Be 0.0000 0.0000 0.0000  2 Cr 1.99

Properties
Symmetry ... No. 123
ΔE_f ... 0.8236 eV/atom

---

Entry from Alexandria via LeMat-Bulk: a geometry-optimized FeCoSb2 structure (PBEsol).

a b c (Å): 6.1478 6.1478 6.3261
angles (deg): 119.07 119.07 90.00
With the nearest neighbours (Å) after each atom.
Element x y z (fractional)
1 Sb 0.3624 0.8750 0.2500  2 Co 2.41, 2 Fe 2.51
2 Sb 0.8876 0.3750 0.2500  2 Co 2.41, 2 Fe 2.51
3 Sb 0.1250 0.1124 0.7500  2 Co 2.41, 2 Fe 2.51
4 Sb 0.6250 0.6377 0.7500  2 Co 2.41, 2 Fe 2.51
5 Co 0.2500 0.7500 0.5000  4 Sb 2.41
6 Co 0.0000 0.0000 0.0000  4 Sb 2.41
7 Fe 0.7500 0.2500 0.5000  4 Sb 2.51
8 Fe 0.5000 0.5000 0.0000  4 Sb 2.51

Properties
Symmetry ... No. 122
Uncorrected energy ... -23.438 eV per formula unit

---

Entry from Alexandria via LeMat-Bulk: a geometry-optimized Ti2PdPbS structure (PBEsol).

a b c (Å): 4.8502 4.8502 4.9962
angles (deg): 90.00 90.00 90.00
With the nearest neighbours (Å) after each atom.
Element x y z (fractional)
1 Pb 0.0000 0.0000 0.5000  2 Pd 2.50
2 S 0.5000 0.5000 0.5000  4 Pb 3.43, 8 Ti 3.48
3 Pd 0.0000 0.0000 0.0000  4 Ti 2.43, 2 Pb 2.50
4 Ti 0.0000 0.5000 0.0000  2 Pd 2.43
5 Ti 0.5000 0.0000 0.0000  2 Pd 2.43

Properties
Symmetry ... No. 123
Uncorrected energy ... -28.025 eV per formula unit

---

Entry from Alexandria via LeMat-Bulk: a geometry-optimized AgPCl structure (PBEsol).

a b c (Å): 4.4222 4.4222 4.4222
angles (deg): 60.00 60.00 60.00
With the nearest neighbours (Å) after each atom.
Element x y z (fractional)
1 P 0.2500 0.2500 0.2500  4 Cl 2.71, 4 Ag 2.71
2 Ag 0.0000 0.0000 0.0000  4 P 2.71
3 Cl 0.5000 0.5000 0.5000  4 P 2.71

Properties
Symmetry ... No. 216
Uncorrected energy ... -9.009 eV per formula unit

---

Entry from Alexandria via LeMat-Bulk: a geometry-optimized CsSbTe2Cl structure (PBEsol).

a b c (Å): 7.4762 7.2251 7.2251
angles (deg): 90.00 90.00 90.00
With the nearest neighbours (Å) after each atom.
Element x y z (fractional)
1 Cs 0.0000 0.0000 0.0000  4 Te 3.61, 2 Sb 3.74
2 Sb 0.5000 0.0000 0.0000  2 Cs 3.74
3 Te 0.0000 0.0000 0.5000  2 Cs 3.61
4 Te 0.0000 0.5000 0.0000  2 Cs 3.61
5 Cl 0.5000 0.5000 0.5000  4 Sb 5.11, 8 Te 5.20

Properties
Symmetry ... No. 123
Uncorrected energy ... -8.447 eV per formula unit

---

Entry from Alexandria via LeMat-Bulk: a geometry-optimized ZnCrRh structure (PBEsol).

a b c (Å): 3.9867 3.9867 3.9867
angles (deg): 60.00 60.00 60.00
With the nearest neighbours (Å) after each atom.
Element x y z (fractional)
1 Cr 0.2500 0.2500 0.2500  4 Rh 2.44, 4 Zn 2.44
2 Rh 0.0000 0.0000 0.0000  4 Cr 2.44
3 Zn 0.5000 0.5000 0.5000  4 Cr 2.44

Properties
Symmetry ... No. 216
ΔE_f ... 0.4740 eV/atom

---

Entry from Alexandria via LeMat-Bulk: a geometry-optimized LaRu3 structure (PBEsol).

a b c (Å): 2.8874 4.7290 5.6647
angles (deg): 114.67 104.77 90.00
With the nearest neighbours (Å) after each atom.
Element x y z (fractional)
1 La 0.0000 0.5000 0.0000  4 Ru 2.77, 2 La 2.89
2 Ru 0.7781 0.7781 0.5563  8 Ru 2.63-2.89
3 Ru 0.2219 0.2219 0.4437  8 Ru 2.63-2.89
4 Ru 0.5000 0.0000 0.0000  6 Ru 2.63-2.89, 4 La 2.77

Properties
Symmetry ... No. 71
ΔE_f ... 0.4201 eV/atom

---

Entry from Alexandria via LeMat-Bulk: a geometry-optimized Sr3PbN structure (PBEsol).

a b c (Å): 6.5264 7.2156 7.2156
angles (deg): 115.16 101.59 78.41
With the nearest neighbours (Å) after each atom.
Element x y z (fractional)
1 Pb 0.7143 0.8595 0.1405  7 Sr 3.41-3.76
2 Pb 0.2858 0.1405 0.8595  7 Sr 3.41-3.76
3 Sr 0.7131 0.8015 0.6342  2 N 2.55
4 Sr 0.2869 0.1985 0.3658  2 N 2.55
5 Sr 0.7131 0.3658 0.1985  2 N 2.55
6 Sr 0.8199 0.3403 0.6597  2 N 2.49-2.50
7 Sr 0.1801 0.6597 0.3403  2 N 2.49-2.50
8 Sr 0.2869 0.6342 0.8015  2 N 2.55
9 N 0.0000 0.5000 0.5000  6 Sr 2.50-2.55
10 N 0.5000 0.5000 0.5000  6 Sr 2.49-2.55

Properties
Symmetry ... No. 12
Uncorrected energy ... -21.428 eV per formula unit

---

Entry from Alexandria via LeMat-Bulk: a geometry-optimized SrTlSi2 structure (PBEsol).

a b c (Å): 3.5348 3.5348 7.2104
angles (deg): 90.00 90.00 89.98
With the nearest neighbours (Å) after each atom.
Element x y z (fractional)
1 Si 0.0000 0.0000 0.9460  4 Si 2.65
2 Si 0.5000 0.5000 0.8232  4 Si 2.65, 1 Tl 2.73
3 Sr 0.0000 0.0000 0.5289  5 Si 3.01-3.28
4 Tl 0.5000 0.5000 0.2019  1 Si 2.73

Properties
Symmetry ... No. 99
Uncorrected energy ... -16.141 eV per formula unit

---

Entry from Alexandria via LeMat-Bulk: a geometry-optimized ReTeSeI2 structure (PBEsol).

a b c (Å): 5.1018 5.2949 5.2949
angles (deg): 90.00 90.00 90.00
With the nearest neighbours (Å) after each atom.
Element x y z (fractional)
1 I 0.0000 0.0000 0.5000  2 Re 2.65
2 I 0.0000 0.5000 0.0000  2 Re 2.65
3 Re 0.0000 0.0000 0.0000  2 Te 2.55, 4 I 2.65
4 Te 0.5000 0.0000 0.0000  2 Re 2.55
5 Se 0.5000 0.5000 0.5000  8 I 3.68, 4 Te 3.74

Properties
Symmetry ... No. 123
Uncorrected energy ... -20.240 eV per formula unit

---

Entry from Alexandria via LeMat-Bulk: a geometry-optimized SrBeF4 structure (PBEsol).

a b c (Å): 5.3540 6.7784 8.1380
angles (deg): 90.00 90.00 91.46
With the nearest neighbours (Å) after each atom.
Element x y z (fractional)
1 Sr 0.3048 0.3290 0.3066  9 F 2.44-2.72
2 Sr 0.1952 0.1710 0.8066  9 F 2.44-2.72
3 Sr 0.6952 0.6710 0.6934  9 F 2.44-2.72
4 Sr 0.8048 0.8290 0.1934  9 F 2.44-2.72
5 Be 0.2516 0.6834 0.9554  4 F 1.54-1.56
6 Be 0.2484 0.8166 0.4554  4 F 1.54-1.56
7 Be 0.7484 0.3166 0.0446  4 F 1.54-1.56
8 Be 0.7516 0.1834 0.5446  4 F 1.54-1.56
9 F 0.9686 0.1781 0.0871  1 Be 1.56
10 F 0.5314 0.3219 0.5871  1 Be 1.56
11 F 0.0314 0.8219 0.9129  1 Be 1.56
12 F 0.4686 0.6781 0.4129  1 Be 1.56
13 F 0.6836 0.0963 0.3746  1 Be 1.54
14 F 0.8164 0.4037 0.8746  1 Be 1.54
15 F 0.3164 0.9037 0.6254  1 Be 1.54
16 F 0.1836 0.5963 0.1254  1 Be 1.54
17 F 0.7075 0.4709 0.1814  1 Be 1.55
18 F 0.7925 0.0291 0.6814  1 Be 1.55
19 F 0.2925 0.5291 0.8186  1 Be 1.55
20 F 0.2075 0.9709 0.3186  1 Be 1.55
21 F 0.4944 0.1976 0.0390  1 Be 1.56
22 F 0.0056 0.3024 0.5390  1 Be 1.56
23 F 0.5056 0.8024 0.9610  1 Be 1.56
24 F 0.9944 0.6976 0.4610  1 Be 1.56

Properties
Symmetry ... No. 14
Uncorrected energy ... -35.424 eV per formula unit